The following is a DFT calculation (PBE) of crystalline Tm2ScPt3 at its relaxed geometry.

Geometry as POSCAR:
```
Tm2ScPt3
1.0
4.8316 0.0000 0.0000
0.0000 14.6059 0.0000
0.0000 0.0000 3.3404
Tm Sc Pt
4 2 6
Cartesian
1.2079 1.2220 0.0065
1.2079 6.0809 0.0065
3.6237 8.5250 3.3339
3.6237 13.3839 3.3339
1.2079 10.9544 3.3332
3.6237 3.6515 0.0072
1.2079 3.6515 1.6739
1.2079 8.6801 1.6608
1.2079 13.2288 1.6608
3.6237 1.3772 1.6796
3.6237 5.9258 1.6796
3.6237 10.9544 1.6665
```

Energy above the lowest structure with this stoichiometry ... 0 meV per atom
ΔH_f (0 K) ... -1.263 eV per atom
Final energy ... -6.829 eV/atom
Magnetic moment ... 0.000 μB per formula unit